Arrangement a

A relaxed structure of LiAcZn2. Source: the Alexandria database, functional PBE.

The structure in extended XYZ format:
```
8
Lattice="4.911 0.000 0.000 -2.456 5.281 0.000 0.000 0.000 7.052" Properties=species:S:1:pos:R:3 pbc="T T T"
Zn 2.456 1.256 0.489
Zn 0.000 4.025 4.015
Zn 0.000 4.025 6.563
Zn 2.456 1.256 3.037
Ac 0.000 0.991 5.289
Ac 2.456 4.290 1.763
Li 0.000 2.213 1.763
Li 2.456 3.068 5.289
```

Arrangement b

A relaxed structure of LiAcZn2. Source: the Alexandria database, functional PBE.

The structure in extended XYZ format:
```
4
Lattice="4.522 0.000 0.000 2.261 3.917 0.000 2.261 1.306 5.343" Properties=species:S:1:pos:R:3 pbc="T T T"
Ac 0.000 0.000 0.000
Zn 2.261 1.306 2.139
Zn 6.784 3.917 3.204
Li 4.522 2.611 2.671
```

Arrangement c

A relaxed structure of LiAcZn2. Source: the Alexandria database, functional PBE.

The structure in extended XYZ format:
```
4
Lattice="3.644 0.000 0.000 0.000 3.644 0.000 0.000 0.000 7.011" Properties=species:S:1:pos:R:3 pbc="T T T"
Li 1.822 1.822 0.000
Zn 0.000 0.000 1.327
Zn 0.000 0.000 5.684
Ac 1.822 1.822 3.505
```

The most stable structure shown above is arrangement b; the least stable is arrangement c.